GGA-PBE Sc2O3, relaxed; formation energy without anion corrections = -1648.9 kJ/mol of formula units; total moment = 0.000 μB/atom
1.0
3.389 0.000 0.000
-1.695 2.935 0.000
0.000 0.000 5.665
Sc O
2 3
direct
0.333 0.667 0.249
0.667 0.333 0.751
0.000 0.000 0.000
0.333 0.667 0.648
0.667 0.333 0.352